(1)
! Zr2AlW, relaxed, DFT PBE; values from VASP
! - total DFT energy (no corrections) (eV for the cell shown) = -33.414
&SYSTEM
  ibrav = 0, nat = 4, ntyp = 3
/
ATOMIC_SPECIES
Zr 91.22 Zr.upf
Al 26.98 Al.upf
W 183.84 W.upf
ATOMIC_POSITIONS crystal
Zr 0.992 0.992 0.003
Al 0.250 0.250 0.250
W 0.750 0.750 0.750
Zr 0.508 0.508 0.497
CELL_PARAMETERS angstrom
-4.688 -2.074 -0.337
-3.324 -2.646 -2.888
1.393 -4.820 1.827


(2)
! NdZnCo, relaxed, DFT PBE; values from VASP
! - total DFT energy (no corrections) (eV for the cell shown) = -13.538
&SYSTEM
  ibrav = 0, nat = 3, ntyp = 3
/
ATOMIC_SPECIES
Co 58.93 Co.upf
Zn 65.41 Zn.upf
Nd 144.24 Nd.upf
ATOMIC_POSITIONS crystal
Co 0.167 0.667 0.333
Zn 0.166 0.000 0.000
Nd 0.667 0.333 0.667
CELL_PARAMETERS angstrom
-3.579 0.306 1.496
-1.652 -0.533 -3.843
0.742 -3.345 2.459


(3)
! Na2BPPt6, relaxed, DFT PBE; values from VASP
! - total DFT energy (no corrections) (eV for the cell shown) = -54.639
&SYSTEM
  ibrav = 0, nat = 10, ntyp = 4
/
ATOMIC_SPECIES
Na 22.99 Na.upf
Pt 195.08 Pt.upf
B 10.81 B.upf
P 30.97 P.upf
ATOMIC_POSITIONS crystal
Na 0.214 0.785 0.573
Pt 0.242 0.759 0.051
B 0.000 0.000 0.000
Na 0.786 0.215 0.427
Pt 0.241 0.294 0.518
Pt 0.707 0.760 0.051
P 0.500 0.500 0.000
Pt 0.758 0.241 0.949
Pt 0.293 0.240 0.949
Pt 0.759 0.706 0.482
CELL_PARAMETERS angstrom
-0.431 4.288 -3.901
-6.724 -0.560 0.132
-4.620 4.717 1.368


(4)
! Sm3Si6AgPd2, relaxed, DFT PBE; values from VASP
! - raw formation energy (eV/atom) = -0.380
&SYSTEM
  ibrav = 0, nat = 12, ntyp = 4
/
ATOMIC_SPECIES
Si 28.09 Si.upf
Sm 150.36 Sm.upf
Pd 106.42 Pd.upf
Ag 107.87 Ag.upf
ATOMIC_POSITIONS crystal
Si 0.195 0.389 0.274
Sm 0.333 0.667 0.611
Si 0.805 0.611 0.726
Pd 0.333 0.667 0.019
Pd 0.667 0.333 0.981
Sm 0.000 0.000 0.000
Si 0.611 0.805 0.274
Sm 0.667 0.333 0.389
Si 0.805 0.195 0.726
Si 0.389 0.195 0.726
Ag 0.000 0.000 0.500
Si 0.195 0.805 0.274
CELL_PARAMETERS angstrom
-3.501 4.000 -2.383
-0.397 -5.573 -1.651
-5.517 -1.341 5.853